Density functional theory data (PBE) for a geometry-optimized La5Te5N structure.

Computed properties:
**Fermi-level density of states**: 4.856 states/eV/f.u.
**Formation energy without anion corrections**: -1.4181 eV per atom
**Density**: 6.09 Mg/m³

a b c (Å): 7.689 7.689 8.769
angles (deg): 107.81 107.81 48.74
Fractional coordinates of all 11 atoms:
La (0.000, 0.000, 0.000)
La (0.354, 0.354, 0.142)
La (0.358, 0.358, 0.713)
La (0.642, 0.642, 0.287)
La (0.646, 0.646, 0.858)
Te (0.157, 0.157, 0.812)
Te (0.180, 0.180, 0.336)
Te (0.500, 0.500, 0.500)
Te (0.820, 0.820, 0.664)
Te (0.843, 0.843, 0.188)
N (0.500, 0.500, 0.000)